First-principles (PBE) data for an optimized crystal structure of LiNiCl3, as listed in the Alexandria database.

Lattice parameters (Å, degrees): 3.5995 6.5982 8.8408 96.02 90.00 90.00
With the nearest neighbours (Å) after each atom.
Positions (direct):
Cl (0.2500, 0.9531, 0.3080)  1 Li 2.36, 2 Ni 2.40
Cl (0.2500, 0.2096, 0.0183)  3 Ni 2.39-2.42
Cl (0.7500, 0.3973, 0.3374)  3 Li 2.35-2.46, 1 Ni 2.44
Cl (0.7500, 0.0469, 0.6920)  1 Li 2.36, 2 Ni 2.40
Cl (0.2500, 0.6027, 0.6626)  3 Li 2.35-2.46, 1 Ni 2.44
Cl (0.7500, 0.7904, 0.9817)  3 Ni 2.39-2.42
Li (0.2500, 0.6224, 0.3866)  4 Cl 2.35-2.46
Li (0.7500, 0.3776, 0.6134)  4 Cl 2.35-2.46
Ni (0.7500, 0.0829, 0.1662)  6 Cl 2.39-2.44
Ni (0.2500, 0.9171, 0.8338)  6 Cl 2.39-2.44

Calculated values
**Formation energy (no corrections)**: -1.038 eV/atom
**E above lowest polymorph**: 0.0 meV per atom